No. 1
Compound: NaZnNi2H
Source: Alexandria via LeMat-Bulk
Functional: PBE
Structure: relaxed

Lattice parameters (Å, degrees): 4.661 3.413 4.661 90.00 90.00 90.00
Positions (direct):
1 Ni 0.000 0.000 0.500
2 Ni 0.500 0.000 0.000
3 Zn 0.000 0.000 0.000
4 H 0.000 0.500 0.000
5 Na 0.500 0.500 0.500

Summary:
As for the calculated total energy: -2.758 eV/atom. Its space group is P4/mmm (123).


No. 2
Compound: Na5Np3H12
Source: Alexandria via LeMat-Bulk
Functional: PBE
Structure: relaxed

Lattice parameters (Å, degrees): 11.204 11.204 11.204 109.47 109.47 109.47
Positions (direct):
1 Np 0.750 0.375 0.125
2 Np 0.875 0.750 0.125
3 Np 0.375 0.750 0.625
4 Np 0.250 0.125 0.375
5 Np 0.875 0.125 0.250
6 Np 0.375 0.625 0.250
7 Np 0.625 0.375 0.750
8 Np 0.125 0.875 0.750
9 Np 0.750 0.875 0.625
10 Np 0.625 0.250 0.375
11 Np 0.125 0.250 0.875
12 Np 0.250 0.625 0.875
13 Na 0.125 0.375 0.250
14 Na 0.000 0.500 0.000
15 Na 0.000 0.000 0.000
16 Na 0.375 0.250 0.125
17 Na 0.500 0.000 0.500
18 Na 0.500 0.500 0.000
19 Na 0.125 0.750 0.375
20 Na 0.750 0.125 0.875
21 Na 0.750 0.625 0.375
22 Na 0.375 0.125 0.750
23 Na 0.625 0.875 0.250
24 Na 0.500 0.500 0.500
25 Na 0.500 0.000 0.000
26 Na 0.000 0.000 0.500
27 Na 0.250 0.375 0.625
28 Na 0.250 0.875 0.125
29 Na 0.000 0.500 0.500
30 Na 0.875 0.250 0.625
31 Na 0.625 0.750 0.875
32 Na 0.875 0.625 0.750
33 H 0.733 0.146 0.062
34 H 0.329 0.562 0.416
35 H 0.938 0.354 0.267
36 H 0.562 0.233 0.146
37 H 0.587 0.733 0.671
38 H 0.938 0.584 0.171
39 H 0.329 0.767 0.413
40 H 0.084 0.913 0.146
41 H 0.584 0.938 0.671
42 H 0.733 0.587 0.171
43 H 0.767 0.438 0.354
44 H 0.829 0.916 0.062
45 H 0.146 0.733 0.562
46 H 0.354 0.416 0.087
47 H 0.087 0.916 0.354
48 H 0.413 0.146 0.584
49 H 0.087 0.171 0.233
50 H 0.438 0.671 0.084
51 H 0.829 0.913 0.267
52 H 0.146 0.413 0.084
53 H 0.354 0.938 0.767
54 H 0.584 0.646 0.413
55 H 0.916 0.829 0.562
56 H 0.767 0.329 0.913
57 H 0.416 0.354 0.587
58 H 0.084 0.171 0.438
59 H 0.233 0.671 0.087
60 H 0.171 0.087 0.733
61 H 0.646 0.062 0.233
62 H 0.854 0.587 0.916
63 H 0.562 0.329 0.916
64 H 0.587 0.854 0.416
65 H 0.913 0.829 0.767
66 H 0.913 0.084 0.646
67 H 0.854 0.267 0.438
68 H 0.171 0.084 0.938
69 H 0.646 0.584 0.913
70 H 0.416 0.062 0.329
71 H 0.267 0.413 0.829
72 H 0.233 0.562 0.646
73 H 0.916 0.087 0.854
74 H 0.671 0.233 0.587
75 H 0.438 0.767 0.854
76 H 0.062 0.416 0.829
77 H 0.413 0.267 0.329
78 H 0.062 0.646 0.733
79 H 0.671 0.438 0.584
80 H 0.267 0.854 0.938

Summary:
As for the calculated total energy: -4.291 eV/atom. Its space group is Ia-3d (230).


No. 3
Compound: Na2NpH4
Source: Alexandria via LeMat-Bulk
Functional: PBE
Structure: relaxed

Lattice parameters (Å, degrees): 4.208 4.208 7.242 73.11 73.11 90.00
Positions (direct):
1 Np 0.000 0.000 0.000
2 Na 0.666 0.666 0.667
3 Na 0.334 0.334 0.333
4 H 0.831 0.831 0.338
5 H 0.169 0.169 0.662
6 H 0.000 0.500 0.000
7 H 0.500 0.000 0.000

Summary:
As for the calculated total energy: -4.016 eV/atom. Its space group is I4/mmm (139).


No. 4
Compound: Na2NpH6
Source: Alexandria via LeMat-Bulk
Functional: PBE
Structure: relaxed

Lattice parameters (Å, degrees): 5.875 5.875 5.875 60.00 60.00 60.00
Positions (direct):
1 Np 0.000 0.000 0.000
2 Na 0.750 0.750 0.750
3 Na 0.250 0.250 0.250
4 H 0.255 0.745 0.255
5 H 0.745 0.255 0.255
6 H 0.255 0.745 0.745
7 H 0.745 0.255 0.745
8 H 0.745 0.745 0.255
9 H 0.255 0.255 0.745

Summary:
As for the calculated total energy: -3.556 eV/atom. Its space group is Fm-3m (225).